Density functional theory data (PBE) for crystalline NpTlSeO5 at its relaxed geometry.

Cell: 6.410 6.410 8.049 Å, 92.11 92.11 113.34°
Sites, in units of the cell vectors:
Tl: 0.654 0.346 0.750
Np: 0.000 0.000 0.000
Se: 0.702 0.298 0.250
O: 0.716 0.119 0.399
O: 0.066 0.934 0.250
O: 0.881 0.284 0.101
O: 0.294 0.217 0.992
Se: 0.298 0.702 0.750
O: 0.119 0.716 0.899
O: 0.934 0.066 0.750
Np: 0.000 0.000 0.500
O: 0.284 0.881 0.601
Tl: 0.346 0.654 0.250
O: 0.706 0.783 0.008
O: 0.783 0.706 0.508
O: 0.217 0.294 0.492

Results
* ΔE_f (raw): -1.688 eV per atom
* density: 6.580 Mg/m³
* density of states at the Fermi level: 3.8 states/eV/f.u.
* total energy: -7.1357 eV/atom

=====

Density functional theory data (PBE) for crystalline NpTlSeO6 at its relaxed geometry.

Cell: 6.145 6.137 5.751 Å, 89.92 91.02 57.93°
Sites, in units of the cell vectors:
O: 0.655 0.947 0.316
Np: 0.349 0.326 0.507
Tl: 0.978 0.008 0.003
O: 0.987 0.420 0.311
Se: 0.753 0.673 0.485
O: 0.981 0.670 0.676
O: 0.591 0.330 0.715
O: 0.319 0.099 0.691
O: 0.385 0.527 0.295

Results
* ΔE_f (raw): -1.644 eV per atom
* density: 5.569 Mg/m³
* total energy: -7.0378 eV/atom

=====

Density functional theory data (PBE) for crystalline TmNpSeO2 at its relaxed geometry.

Cell: 3.800 3.800 6.628 Å, 106.66 106.66 90.00°
Sites, in units of the cell vectors:
Np: 0.146 0.146 0.292
O: 0.754 0.254 0.509
O: 0.254 0.754 0.509
Tm: 0.845 0.845 0.690
Se: 0.500 0.500 0.001

Results
* ΔE_f (raw): -2.669 eV per atom
* density: 9.813 Mg/m³
* density of states at the Fermi level: 9.0 states/eV/f.u.
* total energy: -8.8314 eV/atom

=====

Density functional theory data (PBE) for crystalline YNpSe2O at its relaxed geometry.

Cell: 3.982 3.982 14.292 Å, 90.00 90.00 90.00°
Sites, in units of the cell vectors:
Np: 0.500 0.000 0.583
O: 0.000 0.000 0.500
Se: 0.500 0.000 0.313
Np: 0.000 0.500 0.417
Y: 0.000 0.500 0.879
O: 0.500 0.500 0.500
Se: 0.500 0.000 0.908
Y: 0.500 0.000 0.121
Se: 0.000 0.500 0.687
Se: 0.000 0.500 0.092

Results
* ΔE_f (raw): -2.105 eV per atom
* density: 7.326 Mg/m³
* density of states at the Fermi level: 5.9 states/eV/f.u.
* total energy: -8.3715 eV/atom